The following is a GGA-PBE calculation of a geometry-optimized TiP2Br8 structure, from Alexandria.

Cell and atoms, written as extended XYZ:
```
11
Lattice="-5.836 -0.065 6.368 -6.915 -2.456 -2.342 0.826 -6.035 4.716" Properties=species:S:1:pos:R:3 pbc="T T T"
P -8.212 -7.671 5.117
P -3.714 -0.885 3.625
Br -5.010 -5.321 8.594
Br -3.192 -2.564 2.201
Br -1.747 -5.625 4.860
Br -6.235 -2.350 5.646
Br -8.733 -5.991 6.541
Br -5.691 -6.206 3.095
Br -6.915 -3.235 0.148
Br -10.179 -2.931 3.881
Ti 0.000 0.000 0.000
```

Summary:
The density of states at the Fermi level is 0.17 states/eV per cell. As for the space group: C2/m, No. 12. As for the calculated total energy: -3.385 eV/atom. The calculation puts the formation energy from raw total energies at -467 meV/atom.

The following is a GGA-PBE calculation of a geometry-optimized SiOsW2 structure, from Alexandria.

Cell and atoms, written as extended XYZ:
```
4
Lattice="5.925 0.004 0.012 -2.287 4.216 -0.005 1.350 0.740 2.388" Properties=species:S:1:pos:R:3 pbc="T T T"
W 0.000 0.000 0.000
W 3.638 0.372 1.200
Os -0.468 2.478 1.192
Si 1.819 2.110 0.004
```

Summary:
The density of states at the Fermi level is 3.20 states/eV per cell. As for the space group: C2/m, No. 12. As for the calculated total energy: -10.514 eV/atom. The calculation puts the formation energy from raw total energies at 125 meV/atom.

The following is a GGA-PBE calculation of a geometry-optimized AlCuPd5 structure, from Alexandria.

Cell and atoms, written as extended XYZ:
```
7
Lattice="-0.421 3.578 1.768 -2.791 -1.535 2.441 4.815 -1.644 4.473" Properties=species:S:1:pos:R:3 pbc="T T T"
Cu 2.408 -0.822 2.237
Pd -0.337 -1.129 2.203
Pd 3.547 0.506 4.374
Pd 2.362 -2.050 4.710
Pd 0.802 0.199 4.341
Pd 0.848 1.427 1.867
Al -1.606 1.021 2.104
```

Summary:
The value obtained for the formation enthalpy at 0 K is -291.6 meV/atom. The density of states at the Fermi level is 5.09 states/eV per cell. Its energy above the most stable polymorph in this dataset is 0.000 eV/atom. As for the space group: P4/mmm, No. 123. As for the calculated total energy: -5.121 eV/atom.

The following is a GGA-PBE calculation of a geometry-optimized RbCoN2 structure, from Alexandria.

Cell and atoms, written as extended XYZ:
```
8
Lattice="5.656 0.000 0.000 0.000 5.656 0.000 2.828 2.828 3.904" Properties=species:S:1:pos:R:3 pbc="T T T"
N 2.400 4.242 0.976
N 7.070 6.084 2.928
N 4.242 5.228 2.928
N 3.256 1.414 0.976
Co 2.828 5.656 1.952
Co 2.828 2.828 0.000
Rb 5.656 2.828 1.952
Rb 0.000 0.000 0.000
```

Summary:
The density of states at the Fermi level is 8.58 states/eV per cell. Its energy above the most stable polymorph in this dataset is 0.000 eV/atom. As for the space group: I-42d, No. 122. As for the calculated total energy: -5.876 eV/atom. The calculation puts the formation energy from raw total energies at 305 meV/atom.